--- 1 ---
DFT (GGA-PBE) results for CePm4Rh2 after structural relaxation.

abc: 5.3802 5.3802 8.8334
angles: 72.27 72.27 60.00
Closest atoms and distances in Å follow each position.
Positions (direct):
Ce 0.5000 0.5000 0.5000  2 Rh 2.46
Pm 0.7103 0.7103 0.8690  1 Rh 2.76
Pm 0.9075 0.9075 0.2776  3 Rh 3.17, 3 Pm 3.33
Pm 0.2897 0.2897 0.1310  1 Rh 2.76
Pm 0.0925 0.0925 0.7224  3 Rh 3.17, 3 Pm 3.33
Rh 0.5991 0.5991 0.2026  1 Ce 2.46
Rh 0.4009 0.4009 0.7974  1 Ce 2.46

Output
- N(E_F): 1.377 states/eV per atom
- Crystal system: trigonal
- SG: R-3m

--- 2 ---
DFT (GGA-PBE) results for CePm4Rh2 after structural relaxation.

abc: 6.4728 7.8782 7.8786
angles: 108.98 90.00 90.00
Closest atoms and distances in Å follow each position.
Positions (direct):
Ce 0.7500 0.8684 0.6315  2 Rh 2.46-2.47
Ce 0.2500 0.1316 0.3685  2 Rh 2.46-2.47
Pm 0.4998 0.3078 0.8079  3 Pm 3.23-3.52, 4 Rh 3.29-3.34
Pm 0.7500 0.0651 0.0782  2 Rh 2.86-3.06
Pm 0.2500 0.9349 0.9218  2 Rh 2.86-3.06
Pm 0.0002 0.3078 0.8079  3 Pm 3.23-3.52, 4 Rh 3.29-3.34
Pm 0.2500 0.5777 0.5636  2 Rh 2.86-3.06
Pm 0.9998 0.6922 0.1921  3 Pm 3.23-3.52, 4 Rh 3.29-3.34
Pm 0.5002 0.6922 0.1921  3 Pm 3.23-3.52, 4 Rh 3.29-3.34
Pm 0.7500 0.4223 0.4364  2 Rh 2.86-3.06
Rh 0.7500 0.6768 0.8244  1 Ce 2.47
Rh 0.2500 0.3232 0.1756  1 Ce 2.47
Rh 0.2500 0.9395 0.5605  1 Ce 2.46
Rh 0.7500 0.0605 0.4395  1 Ce 2.46

Output
- N(E_F): 1.378 states/eV per atom
- Crystal system: monoclinic
- SG: P2_1/m

Short version: 2 is the most stable of them.

--- 1 ---
DFT (GGA-PBE) results for CePmSiRh after structural relaxation.

abc: 4.1309 4.0689 5.8449
angles: 90.00 110.69 90.00
Closest atoms and distances in Å follow each position.
Positions (direct):
Ce 0.8634 0.5000 0.7268  4 Rh 2.97, 3 Si 3.06-3.21
Pm 0.1444 0.0000 0.2888  4 Si 3.01, 3 Rh 3.03-3.19
Si 0.5703 0.5000 0.1406  2 Rh 2.60
Rh 0.4218 0.0000 0.8437  2 Si 2.60

Output
- N(E_F): 1.063 states/eV per atom
- Crystal system: orthorhombic
- SG: Amm2

--- 2 ---
DFT (GGA-PBE) results for CePmSiRh after structural relaxation.

abc: 5.0358 5.0358 5.0358
angles: 60.00 60.00 60.00
Closest atoms and distances in Å follow each position.
Positions (direct):
Si 0.2500 0.2500 0.2500  4 Ce 3.08, 4 Pm 3.08
Rh 0.7500 0.7500 0.7500  4 Ce 3.08, 4 Pm 3.08
Ce 0.0000 0.0000 0.0000  4 Rh 3.08, 4 Si 3.08
Pm 0.5000 0.5000 0.5000  4 Si 3.08, 4 Rh 3.08

Output
- N(E_F): 1.288 states/eV per atom
- Crystal system: cubic
- SG: F-43m

Short version: 1 is the most stable of them.

--- 1 ---
DFT (GGA-PBE) results for CePm3Ru after structural relaxation.

abc: 7.4159 7.4159 7.4159
angles: 106.89 111.78 109.78
Closest atoms and distances in Å follow each position.
Positions (direct):
Ce 0.5331 0.8225 0.2107  1 Ru 2.39
Ce 0.6118 0.3225 0.7893  1 Ru 2.39
Pm 0.0654 0.2281 0.7366  1 Ru 2.78
Pm 0.0654 0.8288 0.3373  1 Ru 2.78
Pm 0.4915 0.7281 0.6627  1 Ru 2.78
Pm 0.9338 0.2272 0.2065  1 Ru 2.83
Pm 0.4915 0.3288 0.2634  1 Ru 2.78
Pm 0.0207 0.7272 0.7935  1 Ru 2.83
Ru 0.4165 0.0517 0.8648  1 Ce 2.39
Ru 0.1869 0.5517 0.1352  1 Ce 2.39

Output
- N(E_F): 1.761 states/eV per atom
- Crystal system: orthorhombic
- SG: Ima2

--- 2 ---
DFT (GGA-PBE) results for CePm3Ru after structural relaxation.

abc: 5.5122 5.5122 5.5122
angles: 90.00 90.00 90.00
Closest atoms and distances in Å follow each position.
Positions (direct):
Ru 0.0000 0.0000 0.0000  6 Pm 2.76
Ce 0.5000 0.5000 0.5000  12 Pm 3.90
Pm 0.0000 0.5000 0.0000  2 Ru 2.76
Pm 0.0000 0.0000 0.5000  2 Ru 2.76
Pm 0.5000 0.0000 0.0000  2 Ru 2.76

Output
- N(E_F): 2.241 states/eV per atom
- Crystal system: cubic
- SG: Pm-3m

Short version: 1 is the most stable of them.

--- 1 ---
DFT (GGA-PBE) results for Ce2PmRu after structural relaxation.

abc: 6.2304 9.5674 14.2323
angles: 90.00 90.00 90.00
Closest atoms and distances in Å follow each position.
Positions (direct):
Ce 0.0620 0.0633 0.2120  2 Ru 2.62-2.77
Ce 0.5620 0.9367 0.2880  2 Ru 2.62-2.77
Ce 0.9380 0.5633 0.7880  2 Ru 2.62-2.77
Ce 0.4380 0.4367 0.7120  2 Ru 2.62-2.77
Ce 0.9380 0.9367 0.7880  2 Ru 2.62-2.77
Ce 0.4380 0.0633 0.7120  2 Ru 2.62-2.77
Ce 0.0620 0.4367 0.2120  2 Ru 2.62-2.77
Ce 0.5620 0.5633 0.2880  2 Ru 2.62-2.77
Ce 0.7541 0.5595 0.0377  2 Ru 2.63-2.81
Ce 0.2541 0.4405 0.4623  2 Ru 2.63-2.81
Ce 0.2459 0.0595 0.9623  2 Ru 2.63-2.81
Ce 0.7459 0.9405 0.5377  2 Ru 2.63-2.81
Ce 0.2459 0.4405 0.9623  2 Ru 2.63-2.81
Ce 0.7459 0.5595 0.5377  2 Ru 2.63-2.81
Ce 0.7541 0.9405 0.0377  2 Ru 2.63-2.81
Ce 0.2541 0.0595 0.4623  2 Ru 2.63-2.81
Pm 0.5450 0.2500 0.1460  3 Ru 3.12-3.35
Pm 0.0450 0.7500 0.3540  3 Ru 3.12-3.35
Pm 0.4550 0.7500 0.8540  3 Ru 3.12-3.35
Pm 0.9550 0.2500 0.6460  3 Ru 3.12-3.35
Pm 0.7660 0.2500 0.3990  3 Ru 3.15-3.30
Pm 0.2660 0.7500 0.1010  3 Ru 3.15-3.30
Pm 0.2340 0.7500 0.6010  3 Ru 3.15-3.30
Pm 0.7340 0.2500 0.8990  3 Ru 3.15-3.30
Ru 0.2713 0.2500 0.3295  4 Ce 2.63-2.77
Ru 0.7713 0.7500 0.1705  4 Ce 2.63-2.77
Ru 0.7287 0.7500 0.6705  4 Ce 2.63-2.77
Ru 0.2287 0.2500 0.8295  4 Ce 2.63-2.77
Ru 0.0292 0.2500 0.0784  4 Ce 2.62-2.81
Ru 0.5292 0.7500 0.4216  4 Ce 2.62-2.81
Ru 0.9708 0.7500 0.9216  4 Ce 2.62-2.81
Ru 0.4708 0.2500 0.5784  4 Ce 2.62-2.81

Output
- N(E_F): 2.119 states/eV per atom
- Crystal system: orthorhombic
- SG: Pnma

--- 2 ---
DFT (GGA-PBE) results for Ce2PmRu after structural relaxation.

abc: 3.8724 3.8724 9.1787
angles: 77.82 77.82 60.00
Closest atoms and distances in Å follow each position.
Positions (direct):
Ce 0.0603 0.0603 0.8192  3 Ru 2.77
Ce 0.2736 0.2736 0.1791  3 Ru 2.73
Pm 0.5005 0.5005 0.4986  6 Ce 3.62-3.63, 6 Pm 3.87
Ru 0.6656 0.6656 0.0031  6 Ce 2.73-2.77

Output
- N(E_F): 2.252 states/eV per atom
- Crystal system: trigonal
- SG: R3m

Short version: 1 is the most stable of them.

--- 1 ---
DFT (GGA-PBE) results for Ce2PmRu after structural relaxation.

abc: 3.8327 3.8327 9.3180
angles: 78.13 78.13 60.00
Closest atoms and distances in Å follow each position.
Positions (direct):
Ru 0.0000 0.0000 0.0000  6 Ce 2.74
Ce 0.2736 0.2736 0.1792  3 Ru 2.74
Ce 0.7264 0.7264 0.8208  3 Ru 2.74
Pm 0.5000 0.5000 0.5000  6 Ce 3.65, 6 Pm 3.83

Output
- N(E_F): 2.224 states/eV per atom
- Crystal system: trigonal
- SG: R-3m

--- 2 ---
DFT (GGA-PBE) results for Ce2PmRu after structural relaxation.

abc: 3.7409 6.1656 9.5386
angles: 90.00 90.00 107.66
Closest atoms and distances in Å follow each position.
Positions (direct):
Ce 0.3593 0.7186 0.5604  2 Ru 2.70
Ce 0.6407 0.2814 0.4396  2 Ru 2.70
Ce 0.6407 0.2814 0.0604  2 Ru 2.70
Ce 0.3593 0.7186 0.9396  2 Ru 2.70
Pm 0.9215 0.8430 0.2500  3 Ru 3.18-3.30
Pm 0.0785 0.1570 0.7500  3 Ru 3.18-3.30
Ru 0.2027 0.4054 0.2500  4 Ce 2.70
Ru 0.7973 0.5946 0.7500  4 Ce 2.70

Output
- N(E_F): 2.017 states/eV per atom
- Crystal system: orthorhombic
- SG: Cmcm

Short version: 2 is the most stable of them.

--- 1 ---
DFT (GGA-PBE) results for CePm2Ru2 after structural relaxation.

abc: 5.9395 5.9395 7.9435
angles: 80.69 80.69 60.78
Closest atoms and distances in Å follow each position.
Positions (direct):
Ce 0.1241 0.8759 0.2500  4 Ru 2.51-2.75
Ce 0.8759 0.1241 0.7500  4 Ru 2.51-2.75
Pm 0.4731 0.2221 0.1521  6 Ru 3.12-3.30
Pm 0.7779 0.5269 0.3479  6 Ru 3.12-3.30
Pm 0.5269 0.7779 0.8479  6 Ru 3.12-3.30
Pm 0.2221 0.4731 0.6521  6 Ru 3.12-3.30
Ru 0.7350 0.0008 0.5135  2 Ce 2.51-2.75
Ru 0.9992 0.2650 0.9865  2 Ce 2.51-2.75
Ru 0.2650 0.9992 0.4865  2 Ce 2.51-2.75
Ru 0.0008 0.7350 0.0135  2 Ce 2.51-2.75

Output
- N(E_F): 0.837 states/eV per atom
- Crystal system: monoclinic
- SG: C2/c

--- 2 ---
DFT (GGA-PBE) results for CePm2Ru2 after structural relaxation.

abc: 6.3220 7.6126 7.3204
angles: 121.33 115.58 90.00
Closest atoms and distances in Å follow each position.
Positions (direct):
Ce 0.7500 0.5000 0.0000  4 Ru 2.59
Ce 0.2500 0.5000 0.0000  4 Ru 2.59
Pm 0.8318 0.7060 0.6635  3 Ru 2.84-3.05
Pm 0.1682 0.2940 0.3365  3 Ru 2.84-3.05
Pm 0.6682 0.0425 0.3365  3 Ru 2.84-3.05
Pm 0.3318 0.9575 0.6635  3 Ru 2.84-3.05
Ru 0.4214 0.6675 0.8428  2 Ce 2.59, 2 Pm 2.84-2.88
Ru 0.5786 0.3325 0.1572  2 Ce 2.59, 2 Pm 2.84-2.88
Ru 0.0786 0.8247 0.1572  2 Ce 2.59, 2 Pm 2.84-2.88
Ru 0.9214 0.1753 0.8428  2 Ce 2.59, 2 Pm 2.84-2.88

Output
- N(E_F): 0.468 states/eV per atom
- Crystal system: orthorhombic
- SG: Ibam

Short version: 1 is the most stable of them.